Entry 1:
Here is crystalline Ac2Nd4Sm5 at its relaxed geometry from Alexandria. Energies are from PBE-GGA.

## Properties
Mass density, Mg/m³: 7.3
Total magnetic moment, Bohr magnetons per cell: 0.0
E above lowest polymorph, meV per atom: 0.0
Crystal system: monoclinic
Energy relative to the elements, kJ/mol of atoms: 12.3
VASP energy, eV per formula unit: -49.48

a b c (Å): 3.6914 9.5182 12.6986
angles (deg): 112.48 98.36 90.00
Fractional positions:
Ac1 0.8878 0.2015 0.7756
Ac2 0.1122 0.7985 0.2244
Nd1 0.6840 0.5323 0.3680
Nd2 0.0435 0.3762 0.0870
Nd3 0.3160 0.4677 0.6320
Nd4 0.9565 0.6238 0.9130
Sm1 0.1306 0.1902 0.2612
Sm2 0.8694 0.8098 0.7388
Sm3 0.2676 0.8706 0.5352
Sm4 0.5000 0.0000 0.0000
Sm5 0.7324 0.1294 0.4648

Entry 2:
Here is crystalline Ac2Nd7Sm at its relaxed geometry from Alexandria. Energies are from PBE-GGA.

## Properties
Mass density, Mg/m³: 6.7
Total magnetic moment, Bohr magnetons per cell: 0.0
E above lowest polymorph, meV per atom: 272.5
Crystal system: orthorhombic
Energy relative to the elements, kJ/mol of atoms: 40.7
VASP energy, eV per formula unit: -42.09

a b c (Å): 3.6342 10.7713 10.7712
angles (deg): 109.62 90.00 90.00
Fractional positions:
Ac1 0.5000 0.8247 0.1753
Ac2 0.5000 0.1753 0.8247
Nd1 0.0000 0.6626 0.3373
Nd2 0.0000 0.3374 0.6627
Nd3 0.5000 0.1418 0.3782
Nd4 0.5000 0.8582 0.6218
Nd5 0.5000 0.3782 0.1418
Nd6 0.5000 0.6218 0.8582
Nd7 0.5000 0.5000 0.5000
Sm1 0.0000 0.0000 0.0000

Entry 3:
Here is crystalline AcNd8Sm2 at its relaxed geometry from Alexandria. Energies are from PBE-GGA.

## Properties
Mass density, Mg/m³: 7.0
Total magnetic moment, Bohr magnetons per cell: 0.0
E above lowest polymorph, meV per atom: 0.0
Crystal system: orthorhombic
Energy relative to the elements, kJ/mol of atoms: 11.1
VASP energy, eV per formula unit: -50.43

a b c (Å): 5.6789 8.5868 9.6679
angles (deg): 116.37 107.08 90.00
Fractional positions:
Ac1 0.5000 0.0000 0.0000
Nd1 0.6444 0.8471 0.2887
Nd2 0.3557 0.5585 0.7113
Nd3 0.1592 0.1592 0.3184
Nd4 0.0000 0.2968 0.0000
Nd5 0.8408 0.8408 0.6816
Nd6 0.6443 0.4415 0.2887
Nd7 0.3556 0.1529 0.7113
Nd8 0.0000 0.7032 0.0000
Sm1 0.2004 0.7003 0.4007
Sm2 0.7996 0.2997 0.5993

Entry 4:
Here is crystalline AcNd4Sm7 at its relaxed geometry from Alexandria. Energies are from PBE-GGA.

## Properties
Mass density, Mg/m³: 7.3
Total magnetic moment, Bohr magnetons per cell: 0.0
E above lowest polymorph, meV per atom: 0.0
Crystal system: triclinic
Energy relative to the elements, kJ/mol of atoms: 1.9
VASP energy, eV per formula unit: -55.98

a b c (Å): 7.4004 9.7949 9.1722
angles (deg): 81.13 89.96 40.93
Fractional positions:
Ac1 0.0000 0.0000 0.0000
Nd1 0.5334 0.7187 0.3349
Nd2 0.4666 0.2813 0.6651
Nd3 0.7195 0.7807 0.6681
Nd4 0.2805 0.2193 0.3319
Sm1 0.7524 0.5001 0.9996
Sm2 0.2476 0.4999 0.0004
Sm3 0.9721 0.2805 0.6661
Sm4 0.0279 0.7195 0.3339
Sm5 0.2233 0.7769 0.6644
Sm6 0.5000 0.0000 0.0000
Sm7 0.7767 0.2231 0.3356

Entry 5:
Here is crystalline Ac5Nd3Sm2 at its relaxed geometry from Alexandria. Energies are from PBE-GGA.

## Properties
Mass density, Mg/m³: 7.6
Total magnetic moment, Bohr magnetons per cell: 0.0
Crystal system: monoclinic
Energy relative to the elements, kJ/mol of atoms: 16.4
VASP energy, eV per formula unit: -42.58

a b c (Å): 9.6157 9.6388 10.8045
angles (deg): 109.58 109.50 104.43
Fractional positions:
Ac1 0.2172 0.4672 0.9344
Ac2 0.7828 0.5328 0.0656
Ac3 0.9812 0.7312 0.4625
Ac4 0.4743 0.2243 0.4487
Ac5 0.0188 0.2688 0.5375
Ac6 0.5257 0.7757 0.5513
Ac7 0.8866 0.6433 0.7787
Ac8 0.1134 0.3567 0.2213
Ac9 0.3921 0.1355 0.7787
Ac10 0.6079 0.8645 0.2213
Nd1 0.2844 0.0344 0.0688
Nd2 0.7156 0.9656 0.9312
Nd3 0.5170 0.4722 0.2403
Nd4 0.4830 0.5278 0.7597
Nd5 0.2233 0.7681 0.2403
Nd6 0.7767 0.2319 0.7597
Sm1 0.9926 0.0325 0.7771
Sm2 0.0074 0.9675 0.2229
Sm3 0.2845 0.7446 0.7771
Sm4 0.7155 0.2554 0.2229

Entry 6:
Here is crystalline Ac3Nd6Sm2 at its relaxed geometry from Alexandria. Energies are from PBE-GGA.

## Properties
Mass density, Mg/m³: 7.4
Total magnetic moment, Bohr magnetons per cell: 0.0
Crystal system: trigonal
Energy relative to the elements, kJ/mol of atoms: 3.2
VASP energy, eV per formula unit: -50.01

a b c (Å): 3.7707 3.7707 33.5635
angles (deg): 86.78 86.78 60.00
Fractional positions:
Ac1 0.0000 0.0000 0.0000
Ac2 0.7288 0.7288 0.8137
Ac3 0.2712 0.2712 0.1863
Nd1 0.9067 0.9067 0.2798
Nd2 0.0933 0.0933 0.7202
Nd3 0.8185 0.8185 0.5446
Nd4 0.1815 0.1815 0.4554
Nd5 0.6356 0.6356 0.0931
Nd6 0.3644 0.3644 0.9069
Sm1 0.5441 0.5441 0.3676
Sm2 0.4559 0.4559 0.6324